{
  "formula": "CaTb2Mg",
  "functional": "PBE",
  "state": "relaxed",
  "cell": [[5.434, 0.000, 0.000], [0.000, 5.434, 0.000], [0.000, 0.000, 4.215]],
  "species": ["Ca", "Tb", "Tb", "Mg"],
  "frac_coords": [[0.000, 0.000, 0.000], [0.000, 0.500, 0.500], [0.500, 0.000, 0.500], [0.500, 0.500, 0.000]],
  "sg": "P4/mmm",
  "ef_ev_per_atom": 0.0795,
  "polymorph_energy_kj_per_mol_atoms": 5.1,
  "m_tot_mub_per_cell": 0.00
}